(1)
Computed, not measured: a relaxed Tl2CrIr crystal at the PBE-GGA level of DFT.

Summary:
Space group = I-4m2 (119)

a = 5.4075 Å, b = 5.4075 Å, c = 5.4075 Å
α = 135.02°, β = 135.02°, γ = 65.50°
Last column: nearest neighbours and their distance in Å.
Sites, in units of the cell vectors:
Cr: 0.5000 0.5000 0.0000  8 Tl 2.93-3.07, 4 Ir 3.07
Tl: 0.0000 0.0000 0.0000  4 Cr 2.93, 4 Ir 3.07, 4 Tl 3.07
Tl: 0.2500 0.7500 0.5000  4 Ir 2.93, 4 Cr 3.07, 4 Tl 3.07
Ir: 0.7500 0.2500 0.5000  8 Tl 2.93-3.07, 4 Cr 3.07

---

(2)
Computed, not measured: a relaxed TlCrIr2 crystal at the PBE-GGA level of DFT.

Summary:
Space group = P2/m (10)

a = 4.3463 Å, b = 2.8972 Å, c = 5.4373 Å
α = 74.79°, β = 90.00°, γ = 90.00°
Last column: nearest neighbours and their distance in Å.
Sites, in units of the cell vectors:
Cr: 0.5000 0.7500 0.7500  4 Ir 2.58, 2 Tl 2.72
Ir: 0.0000 0.6002 0.5255  2 Cr 2.58, 3 Ir 2.73-2.89
Ir: 0.0000 0.8998 0.9745  2 Cr 2.58, 3 Ir 2.73-2.89
Tl: 0.5000 0.2500 0.2500  2 Cr 2.72, 2 Tl 2.90, 8 Ir 2.97-3.01

---

(3)
Computed, not measured: a relaxed Tl2CrIr crystal at the PBE-GGA level of DFT.

Summary:
Space group = Imm2 (44)

a = 6.5917 Å, b = 6.5917 Å, c = 4.6627 Å
α = 69.24°, β = 69.24°, γ = 26.89°
Last column: nearest neighbours and their distance in Å.
Sites, in units of the cell vectors:
Ir: 0.7669 0.7669 0.7329  2 Cr 2.59, 4 Tl 2.80
Cr: 0.4414 0.4414 0.5589  2 Ir 2.59
Tl: 0.0393 0.0393 0.9608  4 Cr 3.03, 2 Tl 3.07, 2 Ir 3.12
Tl: 0.2524 0.2524 0.2474  4 Ir 2.80, 2 Tl 3.07

---

(4)
Computed, not measured: a relaxed Tl2CrIr crystal at the PBE-GGA level of DFT.

Summary:
Space group = Fm-3m (225)

a = 4.7499 Å, b = 4.7499 Å, c = 4.7499 Å
α = 60.00°, β = 60.00°, γ = 60.00°
Last column: nearest neighbours and their distance in Å.
Sites, in units of the cell vectors:
Ir: 0.5000 0.5000 0.5000  8 Tl 2.91
Tl: 0.2500 0.2500 0.2500  4 Ir 2.91, 4 Cr 2.91
Tl: 0.7500 0.7500 0.7500  4 Ir 2.91, 4 Cr 2.91
Cr: 0.0000 0.0000 0.0000  8 Tl 2.91

---

(5)
Computed, not measured: a relaxed TlCrIr2 crystal at the PBE-GGA level of DFT.

Summary:
Space group = Pmm2 (25)

a = 2.8768 Å, b = 3.8759 Å, c = 5.8786 Å
α = 90.00°, β = 90.00°, γ = 90.00°
Last column: nearest neighbours and their distance in Å.
Sites, in units of the cell vectors:
Ir: 0.0000 0.0000 0.9778  4 Cr 2.64, 6 Ir 2.84-2.88, 1 Tl 2.85
Ir: 0.5000 0.5000 0.2313  1 Cr 2.55, 4 Ir 2.84
Cr: 0.5000 0.5000 0.7972  5 Ir 2.55-2.64
Tl: 0.0000 0.0000 0.4937  6 Ir 2.85-3.03, 2 Tl 2.88, 4 Cr 3.00

---

(6)
Computed, not measured: a relaxed Tl2CrIr crystal at the PBE-GGA level of DFT.

Summary:
Space group = R-3m (166)

a = 8.9582 Å, b = 8.9582 Å, c = 8.9582 Å
α = 20.98°, β = 20.98°, γ = 20.98°
Last column: nearest neighbours and their distance in Å.
Sites, in units of the cell vectors:
Tl: 0.0024 0.0024 0.0024  3 Ir 2.84, 3 Cr 2.94
Tl: 0.4976 0.4976 0.4976  3 Ir 2.84, 3 Cr 2.94
Ir: 0.7500 0.7500 0.7500  6 Tl 2.84
Cr: 0.2500 0.2500 0.2500  6 Tl 2.94, 6 Cr 3.26

---

Calculated ΔE to the lowest computed polymorph in order - 278.0; 272.9; 160.6; 191.2; 184.4; 323.8 meV per atom
Calculated E_form in order - 0.62; 0.47; 0.50; 0.54; 0.38; 0.67 eV per atom